a | A plane-wave DFT calculation with GGA-PBE was carried out for a relaxed SrMg2Pd2 crystal.

a b c (Å): 6.1027 6.1027 6.1027
angles (deg): 133.51 133.51 67.86
Closest atoms and distances in Å follow each position.
Positions (direct):
Sr 0.0000 0.0000 0.0000  8 Pd 3.49, 10 Mg 3.54-3.73
Mg 0.3495 0.3495 0.0000  4 Pd 2.61
Mg 0.6505 0.6505 0.0000  4 Pd 2.61
Pd 0.2500 0.7500 0.5000  4 Mg 2.61
Pd 0.7500 0.2500 0.5000  4 Mg 2.61

Results
- symmetry = I4/mmm, No. 139

b | A plane-wave DFT calculation with GGA-PBE was carried out for a relaxed SrMg2Pd2 crystal.

a b c (Å): 8.0485 8.0485 3.1955
angles (deg): 90.00 90.00 90.00
Closest atoms and distances in Å follow each position.
Positions (direct):
Sr 0.0000 0.0000 0.0000  4 Pd 3.03, 2 Sr 3.20
Sr 0.5000 0.5000 0.0000  4 Pd 3.03, 2 Sr 3.20
Mg 0.1322 0.3678 0.5000  6 Pd 2.84-2.88, 1 Mg 3.01
Mg 0.3678 0.8678 0.5000  6 Pd 2.84-2.88, 1 Mg 3.01
Mg 0.6322 0.1322 0.5000  6 Pd 2.84-2.88, 1 Mg 3.01
Mg 0.8678 0.6322 0.5000  6 Pd 2.84-2.88, 1 Mg 3.01
Pd 0.1578 0.6578 0.0000  6 Mg 2.84-2.88, 2 Sr 3.03
Pd 0.3422 0.1578 0.0000  6 Mg 2.84-2.88, 2 Sr 3.03
Pd 0.6578 0.8422 0.0000  6 Mg 2.84-2.88, 2 Sr 3.03
Pd 0.8422 0.3422 0.0000  6 Mg 2.84-2.88, 2 Sr 3.03

Results
- symmetry = P4/mbm, No. 127

Energies, relative to the best one, in eV/atom: a 0.032; b 0.000.